## A
First-principles (GGA-PBE) data for MnNiAs2 after structural relaxation, as listed in Alexandria via LeMat-Bulk.

Structure (POSCAR):
```
MnNiAs2
1.0
-0.660 1.128 3.650
-2.227 -1.787 2.623
3.483 -2.940 3.027
As Ni Mn
2 1 1
direct
0.505 0.505 0.479 As
0.995 0.995 0.021 As
0.250 0.250 0.250 Ni
0.750 0.750 0.750 Mn
```

Values from the calculation:
* N(E_F): 2.46 states/eV per cell
* total moment: 3.84 μB/cell

---

## B
First-principles (GGA-PBE) data for MnNiAs2 after structural relaxation, as listed in Alexandria via LeMat-Bulk.

Structure (POSCAR):
```
MnNiAs2
1.0
-4.159 -1.511 0.030
-1.674 -1.942 -3.606
-0.771 -4.357 -0.010
Ni As Mn
1 2 1
direct
0.250 0.250 0.250 Ni
0.000 0.000 0.000 As
0.750 0.750 0.750 As
0.500 0.500 0.500 Mn
```

Values from the calculation:
* N(E_F): 2.52 states/eV per cell
* total moment: 3.68 μB/cell

---

## C
First-principles (GGA-PBE) data for MnNiAs2 after structural relaxation, as listed in Alexandria via LeMat-Bulk.

Structure (POSCAR):
```
MnNiAs2
1.0
-0.500 -7.436 -0.543
-0.032 -7.086 2.373
-2.779 -6.820 1.266
Ni As Mn
1 2 1
direct
0.750 0.750 0.750 Ni
0.502 0.502 0.502 As
0.998 0.998 0.998 As
0.250 0.250 0.250 Mn
```

Values from the calculation:
* N(E_F): 2.69 states/eV per cell
* total moment: 1.30 μB/cell

---

## D
First-principles (GGA-PBE) data for MnNiAs2 after structural relaxation, as listed in Alexandria via LeMat-Bulk.

Structure (POSCAR):
```
MnNiAs2
1.0
-0.969 -4.525 2.178
1.141 -4.307 -2.512
2.261 4.422 1.223
Ni As Mn
1 2 1
direct
0.750 0.250 0.500 Ni
0.250 0.750 0.500 As
0.000 0.000 0.000 As
0.500 0.500 0.000 Mn
```

Values from the calculation:
* N(E_F): 2.67 states/eV per cell
* total moment: 3.33 μB/cell

---

Least stable structure: B

---

## A
First-principles (GGA-PBE) data for MnNiAs2 after structural relaxation, as listed in Alexandria via LeMat-Bulk.

Structure (POSCAR):
```
MnNiAs2
1.0
4.628 0.000 0.000
0.000 3.069 0.044
0.000 1.473 4.252
Ni As Mn
1 2 1
direct
0.500 0.825 0.725 Ni
0.000 0.717 0.942 As
0.500 0.533 0.309 As
0.000 0.426 0.525 Mn
```

Values from the calculation:
* N(E_F): 2.73 states/eV per cell
* total moment: 1.35 μB/cell

---

## B
First-principles (GGA-PBE) data for MnNiAs2 after structural relaxation, as listed in Alexandria via LeMat-Bulk.

Structure (POSCAR):
```
MnNiAs2
1.0
0.000 3.062 3.062
3.062 0.000 3.062
3.062 3.062 0.000
Mn As Ni
1 2 1
direct
0.000 0.000 0.000 Mn
0.250 0.250 0.250 As
0.750 0.750 0.750 As
0.500 0.500 0.500 Ni
```

Values from the calculation:
* N(E_F): 1.89 states/eV per cell
* total moment: 3.05 μB/cell

---

## C
First-principles (GGA-PBE) data for MnNiAs2 after structural relaxation, as listed in Alexandria via LeMat-Bulk.

Structure (POSCAR):
```
MnNiAs2
1.0
-2.882 -0.415 -1.712
-0.921 -2.443 2.143
-2.210 3.378 2.901
As Mn Ni
2 1 1
direct
0.000 0.000 0.934 As
0.500 0.500 0.311 As
0.000 0.000 0.461 Mn
0.500 0.500 0.795 Ni
```

Values from the calculation:
* N(E_F): 2.51 states/eV per cell
* total moment: 1.60 μB/cell

---

Least stable structure: B

---

## A
First-principles (GGA-PBE) data for MnNi4As after structural relaxation, as listed in Alexandria via LeMat-Bulk.

Structure (POSCAR):
```
MnNi4As
1.0
4.340 -1.790 0.622
0.658 -3.643 2.953
1.065 -4.281 -1.722
Ni As Mn
4 1 1
direct
0.625 0.124 0.625 Ni
0.625 0.625 0.124 Ni
0.124 0.625 0.625 Ni
0.625 0.625 0.625 Ni
0.250 0.250 0.250 As
0.000 0.000 0.000 Mn
```

Values from the calculation:
* N(E_F): 4.98 states/eV per cell
* total moment: 4.57 μB/cell

---

## B
First-principles (GGA-PBE) data for MnNi4As after structural relaxation, as listed in Alexandria via LeMat-Bulk.

Structure (POSCAR):
```
MnNi4As
1.0
-3.505 -2.392 1.786
2.471 -1.246 3.180
-1.561 7.824 1.481
Mn As Ni
2 2 8
direct
0.192 0.250 0.000 Mn
0.808 0.750 0.000 Mn
0.000 0.500 0.500 As
0.500 0.000 0.500 As
0.988 0.916 0.331 Ni
0.751 0.335 0.170 Ni
0.419 0.835 0.170 Ni
0.658 0.584 0.669 Ni
0.012 0.084 0.669 Ni
0.342 0.416 0.331 Ni
0.249 0.665 0.830 Ni
0.581 0.165 0.830 Ni
```

Values from the calculation:
* N(E_F): 9.96 states/eV per cell
* total moment: 8.70 μB/cell

---

Least stable structure: A